i:
CsZr2Rh | PBE-GGA | optimized geometry

a = 6.0817 Å, b = 6.0817 Å, c = 9.3630 Å
α = 71.05°, β = 71.05°, γ = 90.00°
Last column: nearest neighbours and their distance in Å.
Positions (direct):
Cs 0.0000 0.0000 0.0000  8 Zr 3.98-3.99, 4 Rh 4.30
Cs 0.7500 0.2500 0.5000  8 Zr 3.98-3.99, 4 Rh 4.30
Rh 0.5000 0.5000 0.0000  4 Zr 2.58
Rh 0.2500 0.7500 0.5000  4 Zr 2.58
Zr 0.3767 0.1250 0.2500  2 Rh 2.58
Zr 0.3733 0.6250 0.2500  2 Rh 2.58
Zr 0.3750 0.6233 0.7500  2 Rh 2.58
Zr 0.8750 0.6267 0.7500  2 Rh 2.58

## Properties
- M_tot: 0.0 Bohr magnetons per cell



ii:
CsZr2Rh | PBE-GGA | optimized geometry

a = 4.9974 Å, b = 4.9974 Å, c = 4.9974 Å
α = 60.00°, β = 60.00°, γ = 60.00°
Last column: nearest neighbours and their distance in Å.
Positions (direct):
Cs 0.5000 0.5000 0.5000  8 Zr 3.06
Rh 0.0000 0.0000 0.0000  8 Zr 3.06
Zr 0.2500 0.2500 0.2500  4 Cs 3.06, 4 Rh 3.06
Zr 0.7500 0.7500 0.7500  4 Cs 3.06, 4 Rh 3.06

## Properties
- M_tot: 0.0 Bohr magnetons per cell



Which of the structures shown above is the most stable? The most stable is ii.